[1]
## Tb3AlGa2Pd9 (PBE-GGA)

Data for a relaxed Tb3AlGa2Pd9 crystal.

It has space group P-3m1 (No. 164), with a = 5.6613 Å, b = 5.6613 Å, c = 11.2361 Å, α = 90.00°, β = 90.00° and γ = 120.00°. The inequivalent atoms are Tb at (0.0000, 0.0000, 0.0000), Tb at (0.3333, 0.6667, 0.7477), Al at (0.0000, 0.0000, 0.5000), Ga at (0.3333, 0.6667, 0.1690), Pd at (0.0000, 0.5000, 0.0000) and Pd at (0.1658, 0.3317, 0.3347).

The calculation puts the total energy at -79.81 eV per cell. The formation enthalpy at 0 K is -9.4 eV/f.u. The density of states at the Fermi level comes out at 4.9 states/eV per cell.



[2]
## TbAl2GaPd2 (PBE-GGA)

Data for a relaxed TbAl2GaPd2 crystal.

It has space group P4/mmm (No. 123), with a = 4.643 Å, b = 4.643 Å, c = 5.572 Å, α = 90.00°, β = 90.00° and γ = 90.00°. The inequivalent atoms are Tb at (0.000, 0.000, 0.000), Al at (0.500, 0.500, 0.241), Ga at (0.000, 0.000, 0.500) and Pd at (0.000, 0.500, 0.500).

The calculation puts the total energy at -28.17 eV per cell. The formation enthalpy at 0 K is -2.6 eV/f.u. The density of states at the Fermi level comes out at 3.2 states/eV per cell.



[3]
## TbAlGaPd (PBE-GGA)

Data for a relaxed TbAlGaPd crystal.

It has space group F-43m (No. 216), with a = 6.687 Å, b = 6.687 Å, c = 6.687 Å, α = 90.00°, β = 90.00° and γ = 90.00°. The inequivalent atoms are Tb at (0.000, 0.000, 0.000), Al at (0.000, 0.000, 0.500), Ga at (0.250, 0.250, 0.750) and Pd at (0.250, 0.250, 0.250).

The calculation puts the total energy at -76.51 eV per cell. The formation enthalpy at 0 K is -2.5 eV/f.u. The density of states at the Fermi level comes out at 8.5 states/eV per cell.



[4]
## TbAlGaPd3 (PBE-GGA)

Data for a relaxed TbAlGaPd3 crystal.

It has space group Cmcm (No. 63), with a = 6.615 Å, b = 12.230 Å, c = 5.612 Å, α = 90.00°, β = 90.00° and γ = 90.00°. The inequivalent atoms are Tb at (0.000, 0.201, 0.250), Al at (0.000, 0.449, 0.250), Ga at (0.000, 0.137, 0.750), Pd at (0.000, 0.340, 0.750) and Pd at (0.207, 0.000, 0.000).

The calculation puts the total energy at -123.69 eV per cell. The formation enthalpy at 0 K is -3.9 eV/f.u. The density of states at the Fermi level comes out at 9.1 states/eV per cell.



[5]
## Tb2AlGaPd6 (PBE-GGA)

Data for a relaxed Tb2AlGaPd6 crystal.

It has space group C2/m (No. 12), with a = 9.784 Å, b = 5.653 Å, c = 8.261 Å, α = 90.00°, β = 113.41° and γ = 90.00°. The inequivalent atoms are Tb at (0.206, 0.000, 0.116), Al at (0.000, 0.500, 0.000), Ga at (0.000, 0.000, 0.500), Pd at (0.001, 0.248, 0.756) and Pd at (0.250, 0.000, 0.757).

The calculation puts the total energy at -108.00 eV per cell. The formation enthalpy at 0 K is -6.8 eV/f.u. The density of states at the Fermi level comes out at 6.2 states/eV per cell.



[6]
## Tb2Al3GaPd4 (PBE-GGA)

Data for a relaxed Tb2Al3GaPd4 crystal.

It has space group P-4m2 (No. 115), with a = 4.315 Å, b = 4.315 Å, c = 10.071 Å, α = 90.00°, β = 90.00° and γ = 90.00°. The inequivalent atoms are Tb at (0.000, 0.500, 0.249), Al at (0.000, 0.000, 0.000), Al at (0.000, 0.500, 0.626), Ga at (0.500, 0.500, 0.000), Pd at (0.000, 0.000, 0.500), Pd at (0.000, 0.500, 0.867) and Pd at (0.500, 0.500, 0.500).

The calculation puts the total energy at -52.73 eV per cell. The formation enthalpy at 0 K is -8.4 eV/f.u. The density of states at the Fermi level comes out at 7.1 states/eV per cell.



[7]
## Tb2Al4GaPd3 (PBE-GGA)

Data for a relaxed Tb2Al4GaPd3 crystal.

It has space group P-4m2 (No. 115), with a = 4.221 Å, b = 4.221 Å, c = 10.584 Å, α = 90.00°, β = 90.00° and γ = 90.00°. The inequivalent atoms are Tb at (0.000, 0.500, 0.250), Al at (0.000, 0.000, 0.000), Al at (0.000, 0.500, 0.639), Al at (0.500, 0.500, 0.000), Ga at (0.000, 0.000, 0.500), Pd at (0.000, 0.500, 0.869) and Pd at (0.500, 0.500, 0.500).

The calculation puts the total energy at -50.63 eV per cell. The formation enthalpy at 0 K is -7.8 eV/f.u. The density of states at the Fermi level comes out at 5.8 states/eV per cell.



[8]
## TbAlGa2Pd4 (PBE-GGA)

Data for a relaxed TbAlGa2Pd4 crystal.

It has space group R-3m (No. 166, hexagonal axes), with a = 4.3326 Å, b = 4.3326 Å, c = 25.2485 Å, α = 90.00°, β = 90.00° and γ = 120.00°. The inequivalent atoms are Tb at (0.0000, 0.0000, 0.0000), Al at (0.0000, 0.0000, 0.5000), Ga at (0.0000, 0.0000, 0.2462), Pd at (0.0000, 0.0000, 0.1344) and Pd at (0.0000, 0.0000, 0.4013).

The calculation puts the total energy at -124.42 eV per cell. The formation enthalpy at 0 K is -6.3 eV/f.u. The density of states at the Fermi level comes out at 10.4 states/eV per cell.



[9]
## TbAlGa4Pd2 (PBE-GGA)

Data for a relaxed TbAlGa4Pd2 crystal.

It has space group R-3m (No. 166, hexagonal axes), with a = 4.4115 Å, b = 4.4115 Å, c = 25.2899 Å, α = 90.00°, β = 90.00° and γ = 120.00°. The inequivalent atoms are Tb at (0.0000, 0.0000, 0.0000), Al at (0.0000, 0.0000, 0.5000), Ga at (0.0000, 0.0000, 0.1246), Ga at (0.0000, 0.0000, 0.3942) and Pd at (0.0000, 0.0000, 0.2396).

The calculation puts the total energy at -103.82 eV per cell. The formation enthalpy at 0 K is -3.7 eV/f.u. The density of states at the Fermi level comes out at 7.6 states/eV per cell.



[10]
## Tb2AlGa2Pd5 (PBE-GGA)

Data for a relaxed Tb2AlGa2Pd5 crystal.

It has space group P4/mbm (No. 127), with a = 10.273 Å, b = 10.273 Å, c = 3.382 Å, α = 90.00°, β = 90.00° and γ = 90.00°. The inequivalent atoms are Tb at (0.175, 0.325, 0.000), Al at (0.000, 0.000, 0.000), Ga at (0.128, 0.628, 0.000), Pd at (0.000, 0.500, 0.500) and Pd at (0.048, 0.802, 0.500).

The calculation puts the total energy at -105.41 eV per cell. The formation enthalpy at 0 K is -7.7 eV/f.u. The density of states at the Fermi level comes out at 12.0 states/eV per cell.



[11]
## AlGaTcPd (PBE-GGA)

Data for a relaxed AlGaTcPd crystal.

It has space group Pmmm (No. 47), with a = 3.201 Å, b = 4.207 Å, c = 4.260 Å, α = 90.00°, β = 90.00° and γ = 90.00°. The inequivalent atoms are Al at (0.000, 0.000, 0.000), Ga at (0.000, 0.500, 0.500), Tc at (0.500, 0.000, 0.500) and Pd at (0.500, 0.500, 0.000).

The calculation puts the total energy at -24.49 eV per cell. The formation enthalpy at 0 K is -2.2 eV/f.u. The density of states at the Fermi level comes out at 2.3 states/eV per cell.



[12]
## AlGaTcPd (PBE-GGA)

Data for a relaxed AlGaTcPd crystal.

It has space group F-43m (No. 216), with a = 6.116 Å, b = 6.116 Å, c = 6.116 Å, α = 90.00°, β = 90.00° and γ = 90.00°. The inequivalent atoms are Al at (0.000, 0.000, 0.000), Ga at (0.000, 0.000, 0.500), Tc at (0.250, 0.250, 0.250) and Pd at (0.250, 0.250, 0.750).

The calculation puts the total energy at -96.82 eV per cell. The formation enthalpy at 0 K is -1.9 eV/f.u. The density of states at the Fermi level comes out at 8.6 states/eV per cell.



[13]
## Th2Al4GaPd3 (PBE-GGA)

Data for a relaxed Th2Al4GaPd3 crystal.

It has space group P-4m2 (No. 115), with a = 4.314 Å, b = 4.314 Å, c = 10.453 Å, α = 90.00°, β = 90.00° and γ = 90.00°. The inequivalent atoms are Th at (0.000, 0.500, 0.249), Al at (0.000, 0.000, 0.000), Al at (0.000, 0.500, 0.636), Al at (0.500, 0.500, 0.000), Ga at (0.000, 0.000, 0.500), Pd at (0.000, 0.500, 0.870) and Pd at (0.500, 0.500, 0.500).

The calculation puts the total energy at -56.16 eV per cell. The formation enthalpy at 0 K is -7.7 eV/f.u. The density of states at the Fermi level comes out at 6.3 states/eV per cell.



[14]
## Th2AlGa3Pd4 (PBE-GGA)

Data for a relaxed Th2AlGa3Pd4 crystal.

It has space group P-4m2 (No. 115), with a = 4.303 Å, b = 4.303 Å, c = 10.440 Å, α = 90.00°, β = 90.00° and γ = 90.00°. The inequivalent atoms are Th at (0.000, 0.500, 0.249), Al at (0.500, 0.500, 0.000), Ga at (0.000, 0.000, 0.000), Ga at (0.000, 0.500, 0.631), Pd at (0.000, 0.000, 0.500), Pd at (0.000, 0.500, 0.868) and Pd at (0.500, 0.500, 0.500).

The calculation puts the total energy at -56.38 eV per cell. The formation enthalpy at 0 K is -7.9 eV/f.u. The density of states at the Fermi level comes out at 6.9 states/eV per cell.



[15]
## ThAlGaPd3 (PBE-GGA)

Data for a relaxed ThAlGaPd3 crystal.

It has space group Cmcm (No. 63), with a = 6.593 Å, b = 12.027 Å, c = 5.905 Å, α = 90.00°, β = 90.00° and γ = 90.00°. The inequivalent atoms are Th at (0.000, 0.203, 0.250), Al at (0.000, 0.126, 0.750), Ga at (0.000, 0.451, 0.250), Pd at (0.000, 0.330, 0.750) and Pd at (0.210, 0.000, 0.000).

The calculation puts the total energy at -134.23 eV per cell. The formation enthalpy at 0 K is -3.8 eV/f.u. The density of states at the Fermi level comes out at 7.5 states/eV per cell.



[16]
## Th2AlGaPd6 (PBE-GGA)

Data for a relaxed Th2AlGaPd6 crystal.

It has space group P-1 (No. 2), with a = 5.571 Å, b = 5.590 Å, c = 7.611 Å, α = 104.53°, β = 95.31° and γ = 117.35°. The inequivalent atoms are Th at (0.167, 0.013, 0.275), Al at (0.500, 0.500, 0.000), Ga at (0.000, 0.500, 0.500), Pd at (0.115, 0.463, 0.160), Pd at (0.353, 0.412, 0.656) and Pd at (0.364, 0.994, 0.822).

The calculation puts the total energy at -59.75 eV per cell. The formation enthalpy at 0 K is -7.0 eV/f.u. The density of states at the Fermi level comes out at 4.5 states/eV per cell.



[17]
## AlTlGaPd2 (PBE-GGA)

Data for a relaxed AlTlGaPd2 crystal.

It has space group P4/mmm (No. 123), with a = 5.121 Å, b = 5.121 Å, c = 5.116 Å, α = 90.00°, β = 90.00° and γ = 90.00°. The inequivalent atoms are Al at (0.000, 0.000, 0.000), Tl at (0.500, 0.500, 0.500), Ga at (0.500, 0.500, 0.000) and Pd at (0.000, 0.500, 0.500).

The calculation puts the total energy at -15.52 eV per cell. The formation enthalpy at 0 K is 4.0 eV/f.u. The density of states at the Fermi level comes out at 2.6 states/eV per cell.



[18]
## Tm2Al4GaPd3 (PBE-GGA)

Data for a relaxed Tm2Al4GaPd3 crystal.

It has space group P-4m2 (No. 115), with a = 4.134 Å, b = 4.134 Å, c = 10.800 Å, α = 90.00°, β = 90.00° and γ = 90.00°. The inequivalent atoms are Tm at (0.000, 0.500, 0.247), Al at (0.000, 0.000, 0.000), Al at (0.000, 0.500, 0.640), Al at (0.500, 0.500, 0.000), Ga at (0.000, 0.000, 0.500), Pd at (0.000, 0.500, 0.865) and Pd at (0.500, 0.500, 0.500).

The calculation puts the total energy at -50.05 eV per cell. The formation enthalpy at 0 K is -7.5 eV/f.u. The density of states at the Fermi level comes out at 5.5 states/eV per cell.



[19]
## TmAl2GaPd4 (PBE-GGA)

Data for a relaxed TmAl2GaPd4 crystal.

It has space group R-3m (No. 166, hexagonal axes), with a = 4.3467 Å, b = 4.3467 Å, c = 24.5049 Å, α = 90.00°, β = 90.00° and γ = 120.00°. The inequivalent atoms are Tm at (0.0000, 0.0000, 0.0000), Al at (0.0000, 0.0000, 0.2451), Ga at (0.0000, 0.0000, 0.5000), Pd at (0.0000, 0.0000, 0.1310) and Pd at (0.0000, 0.0000, 0.3979).

The calculation puts the total energy at -126.49 eV per cell. The formation enthalpy at 0 K is -6.4 eV/f.u. The density of states at the Fermi level comes out at 11.5 states/eV per cell.



[20]
## TmAlGa2Pd4 (PBE-GGA)

Data for a relaxed TmAlGa2Pd4 crystal.

It has space group R-3m (No. 166, hexagonal axes), with a = 4.4511 Å, b = 4.4511 Å, c = 22.9118 Å, α = 90.00°, β = 90.00° and γ = 120.00°. The inequivalent atoms are Tm at (0.0000, 0.0000, 0.0000), Al at (0.0000, 0.0000, 0.5000), Ga at (0.0000, 0.0000, 0.2513), Pd at (0.0000, 0.0000, 0.1311) and Pd at (0.0000, 0.0000, 0.3921).

The calculation puts the total energy at -124.06 eV per cell. The formation enthalpy at 0 K is -6.3 eV/f.u. The density of states at the Fermi level comes out at 9.1 states/eV per cell.



[21]
## Tm2Al2GaPd5 (PBE-GGA)

Data for a relaxed Tm2Al2GaPd5 crystal.

It has space group P4/mbm (No. 127), with a = 10.197 Å, b = 10.197 Å, c = 3.374 Å, α = 90.00°, β = 90.00° and γ = 90.00°. The inequivalent atoms are Tm at (0.175, 0.325, 0.000), Al at (0.127, 0.627, 0.000), Ga at (0.000, 0.000, 0.000), Pd at (0.000, 0.500, 0.500) and Pd at (0.049, 0.798, 0.500).

The calculation puts the total energy at -106.31 eV per cell. The formation enthalpy at 0 K is -7.7 eV/f.u. The density of states at the Fermi level comes out at 12.6 states/eV per cell.



[22]
## TmAlGaPd3 (PBE-GGA)

Data for a relaxed TmAlGaPd3 crystal.

It has space group Cmcm (No. 63), with a = 6.583 Å, b = 12.156 Å, c = 5.582 Å, α = 90.00°, β = 90.00° and γ = 90.00°. The inequivalent atoms are Tm at (0.000, 0.195, 0.250), Al at (0.000, 0.443, 0.250), Ga at (0.000, 0.139, 0.750), Pd at (0.000, 0.343, 0.750) and Pd at (0.208, 0.000, 0.000).

The calculation puts the total energy at -122.73 eV per cell. The formation enthalpy at 0 K is -3.9 eV/f.u. The density of states at the Fermi level comes out at 9.5 states/eV per cell.